1.
Compound: CaCdAu
Source: Alexandria
Functional: GGA-PBEsol
Structure: relaxed

Formation enthalpy at 0 K in eV/atom: -0.62

Cell: 7.283 4.260 8.792 Å, 90.00 90.00 90.00°
Space group Pnma (No. 62)
Inequivalent atoms, fractional coordinates:
Ca 0.046 0.250 0.181 [4 per cell]
Cd 0.139 0.250 0.560 [4 per cell]
Au 0.248 0.250 0.869 [4 per cell]


2.
Compound: MgCrBr4
Source: Alexandria
Functional: GGA-PBEsol
Structure: relaxed

Energy relative to the elements, uncorrected in eV/atom: 0.623

Cell: 8.717 8.717 8.717 Å, 90.00 90.00 90.00°
Space group F-43m (No. 216)
Inequivalent atoms, fractional coordinates:
Mg 0.000 0.000 0.000 [4 per cell]
Cr 0.250 0.250 0.250 [4 per cell]
Br 0.125 0.125 0.625 [16 per cell]


3.
Compound: CoPb3Au
Source: Alexandria
Functional: GGA-PBEsol
Structure: relaxed

Formation enthalpy at 0 K in eV/atom: 1.06

Cell: 5.394 5.394 5.394 Å, 90.00 90.00 90.00°
Space group Pm-3m (No. 221)
Inequivalent atoms, fractional coordinates:
Co 0.000 0.000 0.000 [1 per cell]
Pb 0.000 0.500 0.500 [3 per cell]
Au 0.500 0.500 0.500 [1 per cell]


4.
Compound: Al3Sb2
Source: Alexandria
Functional: GGA-PBEsol
Structure: relaxed

Energy relative to the elements, uncorrected in eV/atom: 0.141

Cell: 4.8695 4.8695 5.7151 Å, 90.00 90.00 120.00°
Space group P-3m1 (No. 164)
Inequivalent atoms, fractional coordinates:
Al 0.0000 0.0000 0.0000 [1 per cell]
Al 0.3333 0.6667 0.2405 [2 per cell]
Sb 0.3333 0.6667 0.7408 [2 per cell]


5.
Compound: Cu2RuSe
Source: Alexandria
Functional: GGA-PBEsol
Structure: relaxed

Energy relative to the elements, uncorrected in eV/atom: 0.372

Cell: 2.832 4.397 4.367 Å, 90.00 92.26 90.00°
Space group P2/m (No. 10)
Inequivalent atoms, fractional coordinates:
Cu 0.184 0.000 0.245 [2 per cell]
Ru 0.500 0.500 0.000 [1 per cell]
Se 0.000 0.500 0.500 [1 per cell]


6.
Compound: TlTc2P
Source: Alexandria
Functional: GGA-PBEsol
Structure: relaxed

Formation enthalpy at 0 K in eV/atom: 0.69

Cell: 6.321 6.321 6.321 Å, 90.00 90.00 90.00°
Space group F-43m (No. 216)
Inequivalent atoms, fractional coordinates:
Tl 0.000 0.000 0.000 [4 per cell]
Tc 0.000 0.000 0.500 [4 per cell]
Tc 0.250 0.250 0.750 [4 per cell]
P 0.250 0.250 0.250 [4 per cell]


7.
Compound: TePbI2Cl
Source: Alexandria
Functional: GGA-PBEsol
Structure: relaxed

Energy relative to the elements, uncorrected in eV/atom: 0.312

Cell: 5.942 5.942 6.042 Å, 90.00 90.00 90.00°
Space group P4/mmm (No. 123)
Inequivalent atoms, fractional coordinates:
Te 0.000 0.000 0.000 [1 per cell]
Pb 0.000 0.000 0.500 [1 per cell]
I 0.000 0.500 0.500 [2 per cell]
Cl 0.500 0.500 0.000 [1 per cell]


8.
Compound: ScCu3
Source: Alexandria
Functional: GGA-PBEsol
Structure: relaxed

Formation enthalpy at 0 K in eV/atom: -0.20

Cell: 4.770 4.770 4.770 Å, 90.00 90.00 90.00°
Space group Pm-3n (No. 223)
Inequivalent atoms, fractional coordinates:
Sc 0.000 0.000 0.000 [2 per cell]
Cu 0.000 0.250 0.500 [6 per cell]


9.
Compound: SrFe2RuN
Source: Alexandria
Functional: GGA-PBEsol
Structure: relaxed

Energy relative to the elements, uncorrected in eV/atom: 0.804

Cell: 4.810 4.810 3.787 Å, 90.00 90.00 90.00°
Space group P4/mmm (No. 123)
Inequivalent atoms, fractional coordinates:
Sr 0.000 0.000 0.000 [1 per cell]
Fe 0.000 0.500 0.500 [2 per cell]
Ru 0.500 0.500 0.500 [1 per cell]
N 0.500 0.500 0.000 [1 per cell]


10.
Compound: LaCd2Pt
Source: Alexandria
Functional: GGA-PBEsol
Structure: relaxed

Formation enthalpy at 0 K in eV/atom: -0.31

Cell: 3.431 3.431 7.412 Å, 90.00 90.00 90.00°
Space group P4/mmm (No. 123)
Inequivalent atoms, fractional coordinates:
La 0.000 0.000 0.000 [1 per cell]
Cd 0.500 0.500 0.305 [2 per cell]
Pt 0.000 0.000 0.500 [1 per cell]


11.
Compound: Cd2H2Au
Source: Alexandria
Functional: GGA-PBEsol
Structure: relaxed

Total energy in eV per atom: -2.52

Cell: 7.046 7.046 2.905 Å, 90.00 90.00 90.00°
Space group P4/mbm (No. 127)
Inequivalent atoms, fractional coordinates:
Cd 0.249 0.251 0.000 [4 per cell]
H 0.040 0.460 0.500 [4 per cell]
Au 0.000 0.000 0.500 [2 per cell]


12.
Compound: Ti3SiH
Source: Alexandria
Functional: GGA-PBEsol
Structure: relaxed

Total energy in eV per atom: -7.36

Cell: 3.954 3.954 3.954 Å, 90.00 90.00 90.00°
Space group Pm-3m (No. 221)
Inequivalent atoms, fractional coordinates:
Ti 0.000 0.000 0.500 [3 per cell]
Si 0.500 0.500 0.500 [1 per cell]
H 0.000 0.000 0.000 [1 per cell]